! FePF3 | the Alexandria database | PBE with a Hubbard U | optimized geometry; values from VASP
! Raw total energy in eV per atom: -4.00
! Magnetic moment in μB/atom: 0.774
! Volume in Å³ per cell: 74.8
&SYSTEM
  ibrav = 0, nat = 5, ntyp = 3
/
ATOMIC_SPECIES
P 30.97 P.upf
F 19.00 F.upf
Fe 55.84 Fe.upf
ATOMIC_POSITIONS crystal
P 0.000 0.000 0.000
F 0.000 0.000 0.500
F 0.500 0.000 0.000
F 0.000 0.500 0.000
Fe 0.500 0.500 0.500
CELL_PARAMETERS angstrom
4.213 0.000 0.000
0.000 4.213 0.000
0.000 0.000 4.213